A plane-wave DFT calculation with PBE-GGA was carried out for a relaxed structure of Na2HgPdS4.

The structure belongs to space group I-4 (No. 82); the cell edges are 6.837, 6.837 and 8.045 Å and the angles 90.00°, 90.00° and 90.00°. The inequivalent atoms are Na at (0.000, 0.000, 0.000), Na at (0.000, 0.500, 0.250), Hg at (0.000, 0.500, 0.750), Pd at (0.000, 0.000, 0.500) and S at (0.202, 0.248, 0.587).



A plane-wave DFT calculation with PBE-GGA was carried out for a relaxed structure of NaHg3PdSe4.

The structure belongs to space group P-43m (No. 215); the cell edges are 6.376, 6.376 and 6.376 Å and the angles 90.00°, 90.00° and 90.00°. The inequivalent atoms are Na at (0.000, 0.000, 0.000), Hg at (0.000, 0.500, 0.500), Pd at (0.500, 0.500, 0.500) and Se at (0.255, 0.255, 0.255).



A plane-wave DFT calculation with PBE-GGA was carried out for a relaxed structure of Na2HgPdSe4.

The structure belongs to space group C2 (No. 5); the cell edges are 10.772, 6.319 and 7.617 Å and the angles 90.00°, 134.98° and 90.00°. The inequivalent atoms are Na at (0.000, 0.000, 0.000), Na at (0.000, 0.251, 0.500), Hg at (0.000, 0.751, 0.500), Pd at (0.000, 0.501, 0.000), Se at (0.206, 0.562, 0.960) and Se at (0.245, 0.440, 0.451).



A plane-wave DFT calculation with PBE-GGA was carried out for a relaxed structure of NaHg3Te4Pd.

The structure belongs to space group P-43m (No. 215); the cell edges are 6.745, 6.745 and 6.745 Å and the angles 90.00°, 90.00° and 90.00°. The inequivalent atoms are Na at (0.000, 0.000, 0.000), Hg at (0.000, 0.500, 0.500), Te at (0.258, 0.258, 0.258) and Pd at (0.500, 0.500, 0.500).



A plane-wave DFT calculation with PBE-GGA was carried out for a relaxed structure of NaPmHg.

For the spin magnetization, the calculation gives 0.53 μB/f.u.

The structure belongs to space group F-43m (No. 216); the cell edges are 7.038, 7.038 and 7.038 Å and the angles 90.00°, 90.00° and 90.00°. The inequivalent atoms are Na at (0.000, 0.000, 0.000), Pm at (0.250, 0.250, 0.250) and Hg at (0.250, 0.250, 0.750).



A plane-wave DFT calculation with PBE-GGA was carried out for a relaxed structure of NaPrHg6.

For the spin magnetization, the calculation gives 0.01 μB/f.u.

The structure belongs to space group P-6m2 (No. 187); the cell edges are 6.7703, 6.7703 and 5.1756 Å and the angles 90.00°, 90.00° and 120.00°. The inequivalent atoms are Na at (0.0000, 0.0000, 0.0000), Pr at (0.6667, 0.3333, 0.5000), Hg at (0.0090, 0.5045, 0.0000) and Hg at (0.1667, 0.3333, 0.5000).



A plane-wave DFT calculation with PBE-GGA was carried out for a relaxed structure of NaPrHgS3.

For the spin magnetization, the calculation gives 0.00 μB/f.u. Its energy above the most stable polymorph in this dataset is 0.013 eV/atom.

The structure belongs to space group Pnma (No. 62); the cell edges are 14.513, 4.166 and 11.419 Å and the angles 90.00°, 90.00° and 90.00°. The inequivalent atoms are Na at (0.208, 0.250, 0.194), Pr at (0.042, 0.750, 0.852), Hg at (0.048, 0.250, 0.603), S at (0.065, 0.250, 0.374), S at (0.086, 0.750, 0.090) and S at (0.165, 0.250, 0.767).



A plane-wave DFT calculation with PBE-GGA was carried out for a relaxed structure of NaPrHgS3.

For the spin magnetization, the calculation gives 0.00 μB/f.u. Its energy above the most stable polymorph in this dataset is 0.034 eV/atom.

The structure belongs to space group Cmcm (No. 63); the cell edges are 4.162, 13.286 and 11.099 Å and the angles 90.00°, 90.00° and 90.00°. The inequivalent atoms are Na at (0.000, 0.244, 0.250), Pr at (0.000, 0.500, 0.000), Hg at (0.000, 0.042, 0.750), S at (0.000, 0.142, 0.559) and S at (0.000, 0.416, 0.750).



A plane-wave DFT calculation with PBE-GGA was carried out for a relaxed structure of NaPrHgS3.

For the spin magnetization, the calculation gives 0.00 μB/f.u. Its energy above the most stable polymorph in this dataset is 0.000 eV/atom.

The structure belongs to space group Pnma (No. 62); the cell edges are 12.433, 4.147 and 11.760 Å and the angles 90.00°, 90.00° and 90.00°. The inequivalent atoms are Na at (0.128, 0.250, 0.015), Pr at (0.048, 0.250, 0.673), Hg at (0.237, 0.250, 0.295), S at (0.062, 0.750, 0.848), S at (0.080, 0.250, 0.425) and S at (0.226, 0.750, 0.155).



A plane-wave DFT calculation with PBE-GGA was carried out for a relaxed structure of NaPrHgS3.

For the spin magnetization, the calculation gives 0.00 μB/f.u. Its energy above the most stable polymorph in this dataset is 0.046 eV/atom.

The structure belongs to space group P2_1/m (No. 11); the cell edges are 7.718, 4.169 and 9.977 Å and the angles 90.00°, 101.31° and 90.00°. The inequivalent atoms are Na at (0.247, 0.250, 0.240), Pr at (0.201, 0.750, 0.628), Hg at (0.398, 0.250, 0.892), S at (0.046, 0.750, 0.351), S at (0.238, 0.750, 0.952) and S at (0.464, 0.250, 0.653).



A plane-wave DFT calculation with PBE-GGA was carried out for a relaxed structure of NaPrHgS3.

For the spin magnetization, the calculation gives 0.00 μB/f.u. Its energy above the most stable polymorph in this dataset is 0.000 eV/atom.

The structure belongs to space group Pnma (No. 62); the cell edges are 12.424, 4.150 and 11.765 Å and the angles 90.00°, 90.00° and 90.00°. The inequivalent atoms are Na at (0.128, 0.250, 0.015), Pr at (0.048, 0.250, 0.674), Hg at (0.237, 0.250, 0.295), S at (0.063, 0.750, 0.848), S at (0.080, 0.250, 0.425) and S at (0.226, 0.750, 0.155).



A plane-wave DFT calculation with PBE-GGA was carried out for a relaxed structure of NaPrHgS3.

For the spin magnetization, the calculation gives 0.00 μB/f.u. Its energy above the most stable polymorph in this dataset is 0.027 eV/atom.

The structure belongs to space group Pnma (No. 62); the cell edges are 11.189, 4.178 and 13.077 Å and the angles 90.00°, 90.00° and 90.00°. The inequivalent atoms are Na at (0.182, 0.250, 0.009), Pr at (0.000, 0.250, 0.727), Hg at (0.247, 0.750, 0.792), S at (0.045, 0.750, 0.878), S at (0.075, 0.250, 0.405) and S at (0.248, 0.750, 0.167).



no.,energy (eV/cell)
1,-54.43
2,-22.94
3,-51.12
4,-21.22
5,-22.43
6,-10.15
7,-102.69
8,-102.18
9,-103.00
10,-50.95
11,-103.00
12,-102.34